[1]
Density functional theory data (PBE-GGA) for a geometry-optimized NiMo2Se structure.

Calculated values
calculated total energy	-7.4858	eV/atom
formation energy without anion corrections	0.246	eV/atom
spin magnetization	0.00	μB/cell
density of states at the Fermi level	3.70	states/eV/cell
calculated volume	15.21	Å³/atom
space-group type	No. 12

a = 4.669 Å, b = 4.669 Å, c = 4.458 Å
α = 82.16°, β = 82.16°, γ = 39.24°
Element x y z (fractional)
Mo: 0.011 0.011 0.973
Mo: 0.489 0.489 0.527
Ni: 0.750 0.750 0.750
Se: 0.250 0.250 0.250

[2]
Density functional theory data (PBE-GGA) for a geometry-optimized Rb2LiPb structure.

Calculated values
calculated total energy	-1.8337	eV/atom
spin magnetization	2.00	μB/cell
formation enthalpy at 0 K	0.22	eV/f.u.
density of states at the Fermi level	4.93	states/eV/cell
calculated volume	55.61	Å³/atom
space-group type	No. 122

a = 12.908 Å, b = 12.908 Å, c = 9.510 Å
α = 47.26°, β = 47.26°, γ = 90.00°
Element x y z (fractional)
Pb: 0.000 0.000 0.000
Pb: 0.750 0.250 0.500
Rb: 0.462 0.125 0.250
Rb: 0.288 0.625 0.250
Rb: 0.375 0.538 0.750
Rb: 0.875 0.712 0.750
Li: 0.500 0.500 0.000
Li: 0.250 0.750 0.500

[3]
Density functional theory data (PBE-GGA) for a geometry-optimized Cd4GaPb structure.

Calculated values
calculated total energy	-1.6495	eV/atom
spin magnetization	0.00	μB/cell
formation enthalpy at 0 K	0.50	eV/f.u.
density of states at the Fermi level	1.33	states/eV/cell
calculated volume	24.84	Å³/atom
energy above the lowest structure with this stoichiometry	13.1	meV/atom
space-group type	No. 216

a = 5.951 Å, b = 5.951 Å, c = 5.951 Å
α = 60.00°, β = 60.00°, γ = 60.00°
Element x y z (fractional)
Pb: 0.000 0.000 0.000
Ga: 0.250 0.250 0.250
Cd: 0.625 0.625 0.126
Cd: 0.625 0.126 0.625
Cd: 0.625 0.625 0.625
Cd: 0.126 0.625 0.625